(1)
BeIn5, relaxed, DFT GGA-PBE; formation energy from the elements = 0.271 eV/atom; SG = Amm2 (38); distance to the lowest polymorph of the same formula = 76 meV/atom
1.0
1.804 -8.802 0.000
1.804 8.802 0.000
0.000 0.000 4.852
Be In
1 5
Direct
0.972 0.028 0.000
0.354 0.646 0.000
0.590 0.410 0.000
0.472 0.528 0.500
0.801 0.199 0.500
0.144 0.856 0.500


(2)
Nd5Y, relaxed, DFT GGA-PBE; formation energy from the elements = 0.013 eV/atom; SG = Cmmm (65)
1.0
-4.544 2.488 0.009
-2.473 -4.517 0.587
1.671 3.025 7.436
Y Nd
1 5
Direct
0.000 0.000 0.000
0.000 0.666 0.332
0.000 0.334 0.668
0.500 0.500 0.000
0.500 0.166 0.333
0.500 0.834 0.667


(3)
W3Br, relaxed, DFT GGA-PBE; formation energy from raw total energies = 4.53 eV/f.u.; SG = R-3m (166); distance to the lowest polymorph of the same formula = 400 meV/atom
1.0
-0.198 3.239 4.159
3.200 -4.175 0.391
-0.432 2.224 -4.764
Br W
1 3
Direct
0.000 0.000 0.000
0.000 0.500 0.500
0.500 0.000 0.500
0.500 0.500 0.000


(4)
Mn4NiPt12, relaxed, DFT GGA-PBE; formation energy from the elements = -0.080 eV/atom; SG = Im-3m (229)
1.0
6.656 0.000 -2.353
-3.328 5.764 -2.353
0.000 0.000 7.060
Mn Ni Pt
4 1 12
Direct
0.000 0.000 0.500
0.500 0.000 0.000
0.500 0.500 0.500
0.000 0.500 0.000
0.000 0.000 0.000
0.000 0.284 0.284
0.000 0.716 0.716
0.716 0.716 0.000
0.284 0.284 0.000
0.284 0.000 0.284
0.716 0.000 0.716
0.500 0.250 0.750
0.500 0.750 0.250
0.750 0.250 0.500
0.250 0.750 0.500
0.750 0.500 0.250
0.250 0.500 0.750


(5)
Pm7TlBr12, relaxed, DFT GGA-PBE; formation energy from raw total energies = -30.66 eV/f.u.; SG = R-3 (148)
1.0
9.573 -0.303 -0.454
-2.953 9.111 -0.454
-2.953 -3.928 8.233
Pm Tl Br
7 1 12
Direct
0.933 0.638 0.855
0.362 0.145 0.067
0.145 0.067 0.362
0.500 0.500 0.500
0.855 0.933 0.638
0.638 0.855 0.933
0.067 0.362 0.145
0.000 0.000 0.000
0.925 0.300 0.784
0.700 0.216 0.075
0.488 0.159 0.400
0.841 0.600 0.512
0.216 0.075 0.700
0.600 0.512 0.841
0.400 0.488 0.159
0.784 0.925 0.300
0.159 0.400 0.488
0.512 0.841 0.600
0.300 0.784 0.925
0.075 0.700 0.216


(6)
PrNdTm2Th, relaxed, DFT GGA-PBE; formation energy from the elements = 0.044 eV/atom; SG = P2_1/m (11)
1.0
5.806 0.000 0.000
0.000 5.873 2.175
0.000 -0.218 9.627
Pr Nd Tm Th
2 2 4 2
Direct
0.250 0.779 0.296
0.750 0.221 0.704
0.250 0.573 0.704
0.750 0.427 0.296
0.750 0.837 0.494
0.750 0.641 0.903
0.250 0.163 0.506
0.250 0.359 0.097
0.250 0.958 0.910
0.750 0.042 0.090


(7)
Ta3CrNi, relaxed, DFT GGA-PBE; formation energy from the elements = 1.187 eV/atom; SG = Pm-3m (221); distance to the lowest polymorph of the same formula = 0 meV/atom
1.0
4.547 0.000 0.000
0.000 4.547 0.000
0.000 0.000 4.547
Ni Cr Ta
1 1 3
Direct
0.500 0.500 0.500
0.000 0.000 0.000
0.000 0.500 0.000
0.000 0.000 0.500
0.500 0.000 0.000


(8)
BaCa2Re, relaxed, DFT GGA-PBE; formation energy from the elements = 1.324 eV/atom; SG = I4_1/amd (141); distance to the lowest polymorph of the same formula = 610 meV/atom
1.0
7.753 0.000 0.000
0.000 7.753 0.000
3.877 3.877 6.300
Re Ca Ba
2 4 2
Direct
0.000 0.000 0.000
0.750 0.250 0.500
0.875 0.125 0.250
0.875 0.625 0.250
0.375 0.125 0.750
0.875 0.125 0.750
0.500 0.500 0.000
0.250 0.750 0.500


(9)
SrZn2Co, relaxed, DFT GGA-PBE; formation energy from the elements = 0.497 eV/atom; SG = Cmmm (65)
1.0
5.116 0.080 0.000
-1.879 4.759 0.000
0.000 0.000 3.211
Co Sr Zn
1 1 2
Direct
0.500 0.000 0.500
0.000 0.500 0.500
0.000 0.000 0.000
0.500 0.500 0.000


(10)
KAgAu, relaxed, DFT GGA-PBE; formation energy from the elements = 0.450 eV/atom; SG = F-43m (216); distance to the lowest polymorph of the same formula = 619 meV/atom
1.0
5.217 0.000 0.000
2.608 4.518 0.000
2.608 1.506 4.260
Ag Au K
1 1 1
Direct
0.000 0.000 0.000
0.500 0.500 0.500
0.750 0.750 0.750


(11)
YLuAlIn, relaxed, DFT GGA-PBE; formation energy from the elements = -0.398 eV/atom; SG = F-43m (216)
1.0
5.175 0.000 0.000
2.588 4.482 0.000
2.588 1.494 4.226
Y Lu Al In
1 1 1 1
Direct
0.750 0.750 0.750
0.250 0.250 0.250
0.000 0.000 0.000
0.500 0.500 0.500


(12)
Ba3NbIn, relaxed, DFT GGA-PBE; formation energy from the elements = 0.666 eV/atom; SG = Pm-3m (221); distance to the lowest polymorph of the same formula = 0 meV/atom
1.0
-5.368 -1.896 2.096
2.818 -3.260 4.271
-0.209 4.753 3.765
Nb Ba In
1 3 1
Direct
0.000 0.000 0.000
0.000 0.500 0.000
0.000 0.000 0.500
0.500 0.000 0.000
0.500 0.500 0.500


Please write out number 12 again, unchanged.
Ba3NbIn, relaxed, DFT GGA-PBE; formation energy from the elements = 0.666 eV/atom; SG = Pm-3m (221); distance to the lowest polymorph of the same formula = 0 meV/atom
1.0
-5.368 -1.896 2.096
2.818 -3.260 4.271
-0.209 4.753 3.765
Nb Ba In
1 3 1
Direct
0.000 0.000 0.000
0.000 0.500 0.000
0.000 0.000 0.500
0.500 0.000 0.000
0.500 0.500 0.500